Record 1
# PmPaRhN4 PBE optimized geometry
data_PmPaRhN4
_chemical_formula_sum 'Pm2 Pa2 Rh2 N8'
_cell_length_a 5.939
_cell_length_b 5.113
_cell_length_c 7.017
_cell_angle_alpha 90.00
_cell_angle_beta 110.70
_cell_angle_gamma 90.00
_space_group_name_H-M_alt 'P 1 21/m 1'
_space_group_IT_number 11
loop_
_space_group_symop_operation_xyz
'x,y,z'
'-x,-y,-z'
'-x,y+1/2,-z'
'x,-y+1/2,z'
loop_
_atom_site_label
_atom_site_type_symbol
_atom_site_fract_x
_atom_site_fract_y
_atom_site_fract_z
Pm1 Pm 0.185 0.250 0.441
Pa1 Pa 0.261 0.250 0.952
Rh1 Rh 0.281 0.750 0.210
N1 N 0.049 0.750 0.358
N2 N 0.054 0.750 0.923
N3 N 0.464 0.003 0.773
# Formation energy from raw total energies ... -0.62 eV per atom

=====

Record 2
# LaCu2BF PBE optimized geometry
data_LaCu2BF
_chemical_formula_sum 'La1 Cu2 B1 F1'
_cell_length_a 4.236
_cell_length_b 4.236
_cell_length_c 4.858
_cell_angle_alpha 90.00
_cell_angle_beta 90.00
_cell_angle_gamma 90.00
_space_group_name_H-M_alt 'P 4/m m m'
_space_group_IT_number 123
_space_group_name_Hall '-P 4 2'
loop_
_atom_site_label
_atom_site_type_symbol
_atom_site_fract_x
_atom_site_fract_y
_atom_site_fract_z
La1 La 0.000 0.000 0.000
Cu1 Cu 0.000 0.500 0.500
B1 B 0.500 0.500 0.000
F1 F 0.000 0.000 0.500
# Energy relative to the lowest polymorph listed for this composition ... 0 kJ/mol of formula units
# Formation energy from raw total energies ... 0.16 eV per atom

=====

Record 3
# DyHoSnSe PBE optimized geometry
data_DyHoSnSe
_chemical_formula_sum 'Dy1 Ho1 Sn1 Se1'
_cell_length_a 4.243
_cell_length_b 4.243
_cell_length_c 6.007
_cell_angle_alpha 90.00
_cell_angle_beta 90.00
_cell_angle_gamma 90.00
_space_group_name_H-M_alt 'P 4/m m m'
_space_group_IT_number 123
_space_group_name_Hall '-P 4 2'
loop_
_atom_site_label
_atom_site_type_symbol
_atom_site_fract_x
_atom_site_fract_y
_atom_site_fract_z
Dy1 Dy 0.000 0.000 0.000
Ho1 Ho 0.500 0.500 0.500
Sn1 Sn 0.000 0.000 0.500
Se1 Se 0.500 0.500 0.000
# Formation energy from raw total energies ... -1.23 eV per atom

=====

Record 4
# SiNiTeI2 PBE optimized geometry
data_SiNiTeI2
_chemical_formula_sum 'Si1 Ni1 Te1 I2'
_cell_length_a 5.455
_cell_length_b 5.455
_cell_length_c 5.441
_cell_angle_alpha 90.00
_cell_angle_beta 90.00
_cell_angle_gamma 90.00
_space_group_name_H-M_alt 'P 4/m m m'
_space_group_IT_number 123
_space_group_name_Hall '-P 4 2'
loop_
_atom_site_label
_atom_site_type_symbol
_atom_site_fract_x
_atom_site_fract_y
_atom_site_fract_z
Si1 Si 0.000 0.000 0.000
Ni1 Ni 0.500 0.500 0.500
Te1 Te 0.000 0.000 0.500
I1 I 0.000 0.500 0.000
# Energy relative to the lowest polymorph listed for this composition ... 137 kJ/mol of formula units
# Formation energy from raw total energies ... 0.84 eV per atom

=====

Record 5
# Sr2ThCd6 PBE optimized geometry
data_Sr2ThCd6
_chemical_formula_sum 'Sr2 Th1 Cd6'
_cell_length_a 8.9422
_cell_length_b 8.9422
_cell_length_c 3.5749
_cell_angle_alpha 90.00
_cell_angle_beta 90.00
_cell_angle_gamma 120.00
_space_group_name_H-M_alt 'P 6/m m m'
_space_group_IT_number 191
_space_group_name_Hall '-P 6 2'
loop_
_atom_site_label
_atom_site_type_symbol
_atom_site_fract_x
_atom_site_fract_y
_atom_site_fract_z
Sr1 Sr 0.3333 0.6667 0.0000
Th1 Th 0.0000 0.0000 0.0000
Cd1 Cd 0.0000 0.3316 0.5000
# Energy relative to the elements ... -0.2600 eV/atom

=====

Record 6
# NbPtCl2 PBE optimized geometry
data_NbPtCl2
_chemical_formula_sum 'Nb4 Pt4 Cl8'
_cell_length_a 5.910
_cell_length_b 5.910
_cell_length_c 10.381
_cell_angle_alpha 90.00
_cell_angle_beta 90.00
_cell_angle_gamma 90.00
_space_group_name_H-M_alt 'I -4 2 d'
_space_group_IT_number 122
_space_group_name_Hall 'I -4 2bw'
loop_
_atom_site_label
_atom_site_type_symbol
_atom_site_fract_x
_atom_site_fract_y
_atom_site_fract_z
Nb1 Nb 0.000 0.000 0.000
Pt1 Pt 0.000 0.000 0.500
Cl1 Cl 0.241 0.250 0.125
# Energy relative to the lowest polymorph listed for this composition ... 304 kJ/mol of formula units
# Formation energy from raw total energies ... 0.55 eV per atom

=====

Record 7
# CeFe2 PBE optimized geometry
data_CeFe2
_chemical_formula_sum 'Ce2 Fe4'
_cell_length_a 3.011
_cell_length_b 3.011
_cell_length_c 10.950
_cell_angle_alpha 90.00
_cell_angle_beta 90.00
_cell_angle_gamma 90.00
_space_group_name_H-M_alt 'I 4/m m m'
_space_group_IT_number 139
_space_group_name_Hall '-I 4 2'
loop_
_atom_site_label
_atom_site_type_symbol
_atom_site_fract_x
_atom_site_fract_y
_atom_site_fract_z
Ce1 Ce 0.000 0.000 0.000
Fe1 Fe 0.000 0.000 0.303
# Energy relative to the elements ... 0.1693 eV/atom

=====

Record 8
# CaIn2Cl4 PBE optimized geometry
data_CaIn2Cl4
_chemical_formula_sum 'Ca2 In4 Cl8'
_cell_length_a 8.234
_cell_length_b 7.247
_cell_length_c 8.544
_cell_angle_alpha 90.00
_cell_angle_beta 107.86
_cell_angle_gamma 90.00
_space_group_name_H-M_alt 'P 1 21/m 1'
_space_group_IT_number 11
loop_
_space_group_symop_operation_xyz
'x,y,z'
'-x,-y,-z'
'-x,y+1/2,-z'
'x,-y+1/2,z'
loop_
_atom_site_label
_atom_site_type_symbol
_atom_site_fract_x
_atom_site_fract_y
_atom_site_fract_z
Ca1 Ca 0.186 0.250 0.208
In1 In 0.052 0.250 0.694
In2 In 0.497 0.250 0.782
Cl1 Cl 0.115 0.750 0.022
Cl2 Cl 0.217 0.502 0.438
Cl3 Cl 0.458 0.250 0.113
# Energy relative to the lowest polymorph listed for this composition ... 60 kJ/mol of formula units
# Formation energy from raw total energies ... -1.40 eV per atom

=====

Record 9
Computed, not measured: an optimized crystal structure of K3NaNi2H8 at the PBE level of DFT.

```
data_K3NaNi2H8
_chemical_formula_sum 'K3 Na1 Ni2 H8'
_cell_length_a 5.6703
_cell_length_b 5.6703
_cell_length_c 7.5934
_cell_angle_alpha 90.00
_cell_angle_beta 90.00
_cell_angle_gamma 120.00
_space_group_name_H-M_alt 'P -3 m 1'
_space_group_IT_number 164
_space_group_name_Hall '-P 3 2"'
loop_
_atom_site_label
_atom_site_type_symbol
_atom_site_fract_x
_atom_site_fract_y
_atom_site_fract_z
K1 K 0.0000 0.0000 0.0000
K2 K 0.3333 0.6667 0.6714
Na1 Na 0.0000 0.0000 0.5000
Ni1 Ni 0.3333 0.6667 0.2226
H1 H 0.1898 0.3797 0.3225
H2 H 0.3333 0.6667 0.0123
```

=====

Record 10
# BaAlPO2 PBE optimized geometry
data_BaAlPO2
_chemical_formula_sum 'Ba1 Al1 P1 O2'
_cell_length_a 4.389
_cell_length_b 4.389
_cell_length_c 6.748
_cell_angle_alpha 90.00
_cell_angle_beta 90.00
_cell_angle_gamma 90.00
_space_group_name_H-M_alt 'P 4/m m m'
_space_group_IT_number 123
_space_group_name_Hall '-P 4 2'
loop_
_atom_site_label
_atom_site_type_symbol
_atom_site_fract_x
_atom_site_fract_y
_atom_site_fract_z
Ba1 Ba 0.000 0.000 0.000
Al1 Al 0.500 0.500 0.500
P1 P 0.000 0.000 0.500
O1 O 0.000 0.500 0.000
# Energy relative to the lowest polymorph listed for this composition ... 708 kJ/mol of formula units
# Formation energy from raw total energies ... 0.18 eV per atom

=====

Record 11
# Ta PBE optimized geometry
data_Ta
_chemical_formula_sum 'Ta4'
_cell_length_a 4.215
_cell_length_b 4.215
_cell_length_c 4.215
_cell_angle_alpha 90.00
_cell_angle_beta 90.00
_cell_angle_gamma 90.00
_space_group_name_H-M_alt 'F m -3 m'
_space_group_IT_number 225
_space_group_name_Hall '-F 4 2 3'
loop_
_atom_site_label
_atom_site_type_symbol
_atom_site_fract_x
_atom_site_fract_y
_atom_site_fract_z
Ta1 Ta 0.000 0.000 0.000
# Energy relative to the elements ... 0.2362 eV/atom
# Energy relative to the lowest polymorph listed for this composition ... 23 kJ/mol of formula units

=====

Record 12
# LiS4F PBE optimized geometry
data_LiS4F
_chemical_formula_sum 'Li4 S16 F4'
_cell_length_a 3.781
_cell_length_b 23.780
_cell_length_c 6.655
_cell_angle_alpha 90.00
_cell_angle_beta 94.62
_cell_angle_gamma 90.00
_space_group_name_H-M_alt 'C 1 2/c 1'
_space_group_IT_number 15
loop_
_space_group_symop_operation_xyz
'x,y,z'
'-x,-y,-z'
'-x,y,-z+1/2'
'x,-y,z+1/2'
'x+1/2,y+1/2,z'
'-x+1/2,-y+1/2,-z'
'-x+1/2,y+1/2,-z+1/2'
'x+1/2,-y+1/2,z+1/2'
loop_
_atom_site_label
_atom_site_type_symbol
_atom_site_fract_x
_atom_site_fract_y
_atom_site_fract_z
Li1 Li 0.000 0.118 0.250
S1 S 0.173 0.066 0.654
S2 S 0.173 0.179 0.654
F1 F 0.000 0.382 0.750
# Formation energy from raw total energies ... -0.70 eV per atom

=====

no.,electronic total energy (eV/atom),DOS at the Fermi energy (states/eV/f.u.)
1,-8.462,3.72
2,-4.169,2.99
3,-5.397,0.82
4,-2.654,6.49
5,-2.068,6.88
6,-4.403,2.61
7,-7.450,5.34
8,-3.519,0.00
9,-3.048,2.50
10,-4.015,3.32
11,-11.616,1.01
12,-4.081,1.05